# 1
NdZr3N4: optimized geometry, PBE.

Calculated values
calculated density: 7.42 g/cm3
total magnetization: 0.00 Bohr magnetons per cell
uncorrected formation energy: -1602.3 meV/atom

Cell lengths 3.3265, 3.3265, 22.1378 Å; angles 90.00, 90.00, 120.00 degrees
Last column: nearest neighbours and their distance in Å.
Fractional positions:
Nd  0.3333  0.6667  0.2500  6 N 2.54
Nd  0.6667  0.3333  0.7500  6 N 2.54
Zr  0.0000  0.0000  0.0000  6 N 2.33
Zr  0.0000  0.0000  0.5000  6 N 2.33
Zr  0.3333  0.6667  0.6193  6 N 2.28-2.34
Zr  0.3333  0.6667  0.8807  6 N 2.28-2.34
Zr  0.6667  0.3333  0.1193  6 N 2.28-2.34
Zr  0.6667  0.3333  0.3807  6 N 2.28-2.34
N  0.0000  0.0000  0.1746  3 Zr 2.28, 3 Nd 2.54
N  0.0000  0.0000  0.3254  3 Zr 2.28, 3 Nd 2.54
N  0.0000  0.0000  0.6746  3 Zr 2.28, 3 Nd 2.54
N  0.0000  0.0000  0.8254  3 Zr 2.28, 3 Nd 2.54
N  0.3333  0.6667  0.0592  6 Zr 2.33-2.34
N  0.3333  0.6667  0.4408  6 Zr 2.33-2.34
N  0.6667  0.3333  0.5592  6 Zr 2.33-2.34
N  0.6667  0.3333  0.9408  6 Zr 2.33-2.34



# 2
NdZrN2: optimized geometry, PBE.

Calculated values
calculated density: 7.56 g/cm3
total magnetization: 0.00 Bohr magnetons per cell
uncorrected formation energy: -1372.3 meV/atom

Cell lengths 6.2691, 6.2691, 6.2691 Å; angles 30.96, 30.96, 30.96 degrees
Last column: nearest neighbours and their distance in Å.
Fractional positions:
Nd  0.0000  0.0000  0.0000  6 N 2.53-2.64
Zr  0.1730  0.1730  0.1730  6 N 2.30-2.32
N  0.5758  0.5758  0.5758  3 Zr 2.30, 3 Nd 2.53
N  0.7676  0.7676  0.7676  3 Zr 2.32



# 3
NdZr6N8: optimized geometry, PBE.

Calculated values
calculated density: 6.22 g/cm3
total magnetization: 0.10 Bohr magnetons per cell
uncorrected formation energy: -1269.5 meV/atom

Cell lengths 8.6698, 8.6698, 3.2959 Å; angles 90.00, 90.00, 120.00 degrees
Last column: nearest neighbours and their distance in Å.
Fractional positions:
Nd  0.0000  0.0000  0.0000  6 N 3.08, 2 Nd 3.30
Zr  0.1389  0.6870  0.7363  3 N 2.11-2.15
Zr  0.3130  0.4519  0.7363  3 N 2.11-2.15
Zr  0.4519  0.1389  0.2637  3 N 2.11-2.15
Zr  0.5481  0.8611  0.7363  3 N 2.11-2.15
Zr  0.6870  0.5481  0.2637  3 N 2.11-2.15
Zr  0.8611  0.3130  0.2637  3 N 2.11-2.15
N  0.0372  0.3615  0.7677  3 Zr 2.11-2.15
N  0.3243  0.9628  0.7677  3 Zr 2.11-2.15
N  0.3333  0.6667  0.2423  6 Zr 2.41-2.44
N  0.3615  0.3243  0.2323  3 Zr 2.11-2.15
N  0.6385  0.6757  0.7677  3 Zr 2.11-2.15
N  0.6667  0.3333  0.7577  6 Zr 2.41-2.44
N  0.6757  0.0372  0.2323  3 Zr 2.11-2.15
N  0.9628  0.6385  0.2323  3 Zr 2.11-2.15